# TlH2Pd2 PBE-GGA optimized geometry
data_TlH2Pd2
_space_group_name_H-M_alt 'P 1'
_space_group_IT_number 1
_space_group_name_Hall 'P 1'
_cell_length_a 6.629
_cell_length_b 6.629
_cell_length_c 3.033
_cell_angle_alpha 90.00
_cell_angle_beta 90.00
_cell_angle_gamma 90.00
loop_
_atom_site_label
_atom_site_fract_x
_atom_site_fract_y
_atom_site_fract_z
Tl1 0.000 0.000 0.000
Tl2 0.500 0.500 0.000
H1 0.049 0.451 0.000
H2 0.451 0.951 0.000
H3 0.549 0.049 0.000
H4 0.951 0.549 0.000
Pd1 0.151 0.651 0.500
Pd2 0.349 0.151 0.500
Pd3 0.651 0.849 0.500
Pd4 0.849 0.349 0.500
# DFT total energy ... -0.269 Ry/atom
# Calculated volume ... 13.3 A^3/atom
# E above lowest polymorph ... 32.2 kJ/mol of atoms

# AsPdSeN2 PBE-GGA optimized geometry
data_AsPdSeN2
_space_group_name_H-M_alt 'P 1'
_space_group_IT_number 1
_space_group_name_Hall 'P 1'
_cell_length_a 3.622
_cell_length_b 3.622
_cell_length_c 6.948
_cell_angle_alpha 90.00
_cell_angle_beta 90.00
_cell_angle_gamma 90.00
loop_
_atom_site_label
_atom_site_fract_x
_atom_site_fract_y
_atom_site_fract_z
As1 0.000 0.000 0.000
Pd1 0.500 0.500 0.500
Se1 0.000 0.000 0.500
N1 0.000 0.500 0.000
N2 0.500 0.000 0.000
# DFT total energy ... -0.350 Ry/atom
# Calculated volume ... 18.2 A^3/atom
# E above lowest polymorph ... 0.0 kJ/mol of atoms